! PmMg2GaPd2 (PBE-GGA, relaxed); values from VASP
&SYSTEM
  ibrav = 0, nat = 6, ntyp = 4
/
ATOMIC_SPECIES
Pm 145.00 Pm.upf
Mg 24.30 Mg.upf
Ga 69.72 Ga.upf
Pd 106.42 Pd.upf
CELL_PARAMETERS angstrom
-2.189 -2.556 3.848
4.254 0.546 2.783
-2.907 5.575 -1.347
ATOMIC_POSITIONS crystal
Pm 0.500 0.500 0.000
Mg 0.250 0.750 0.500
Mg 0.750 0.250 0.500
Ga 0.000 0.000 0.000
Pd 0.774 0.774 0.549
Pd 0.226 0.226 0.451
! Uncorrected energy = -3.92 eV per atom

***

! YH3Rh (PBE-GGA, relaxed); values from VASP
&SYSTEM
  ibrav = 0, nat = 10, ntyp = 3
/
ATOMIC_SPECIES
Y 88.91 Y.upf
H 1.01 H.upf
Rh 102.91 Rh.upf
CELL_PARAMETERS angstrom
4.017 -0.963 3.982
3.670 -4.380 0.522
5.716 -0.074 -0.500
ATOMIC_POSITIONS crystal
Y 0.102 0.102 0.102
Y 0.898 0.898 0.898
H 0.574 0.105 0.574
H 0.105 0.574 0.574
H 0.426 0.426 0.895
H 0.895 0.426 0.426
H 0.426 0.895 0.426
H 0.574 0.574 0.105
Rh 0.304 0.304 0.304
Rh 0.696 0.696 0.696
! Uncorrected energy = -5.22 eV per atom

***

! Pm4ErSc (PBE-GGA, relaxed); values from VASP
&SYSTEM
  ibrav = 0, nat = 6, ntyp = 3
/
ATOMIC_SPECIES
Pm 145.00 Pm.upf
Er 167.26 Er.upf
Sc 44.96 Sc.upf
CELL_PARAMETERS angstrom
7.645 1.878 1.054
4.927 6.140 1.054
-0.596 -0.381 5.005
ATOMIC_POSITIONS crystal
Pm 0.337 0.337 0.000
Pm 0.663 0.663 0.000
Pm 0.837 0.837 0.500
Pm 0.163 0.163 0.500
Er 0.500 0.500 0.500
Sc 0.000 0.000 0.000
! Uncorrected energy = -4.94 eV per atom

***

Question: Which of these has the highest uncorrected energy?
Answer: PmMg2GaPd2

***

Question: Among the records above, which one has the lowest uncorrected energy?
Answer: YH3Rh

***

Question: uncorrected energy of number 1 (PmMg2GaPd2)?
Answer: -3.92 eV per atom